Here is a crystal of FeAgCl2 relaxed with PBEsol from Alexandria. Energies are from SCAN.

Structure (CIF):
```
data_FeAgCl2
_space_group_name_H-M_alt 'F -4 3 m'
_space_group_IT_number 216
_space_group_name_Hall 'F -4 2 3'
_cell_length_a 6.5243
_cell_length_b 6.5243
_cell_length_c 6.5243
_cell_angle_alpha 90.00
_cell_angle_beta 90.00
_cell_angle_gamma 90.00
loop_
_atom_site_label
_atom_site_fract_x
_atom_site_fract_y
_atom_site_fract_z
_atom_site_occupancy
Fe1 0.0000 0.0000 0.0000 1
Ag1 0.2500 0.2500 0.2500 1
Cl1 0.0000 0.0000 0.5000 1
Cl2 0.2500 0.2500 0.7500 1
```

Values from the calculation:
**Raw formation energy**: 1.37 eV per formula unit
**ΔE to the lowest computed polymorph**: 0.6997 eV per atom
**Final energy**: -16.021 eV per atom
**Spin magnetization**: 3.3 μB/f.u.